Crystalline CsAuSeBr2 at its relaxed geometry, computed with PBE.

Cell lengths 5.616, 5.616, 5.156 Å; angles 90.00, 90.00, 90.00 degrees
Positions (direct):
Cs: 0.500 0.500 0.500
Au: 0.000 0.000 0.000
Br: 0.500 0.000 0.000
Br: 0.000 0.500 0.000
Se: 0.000 0.000 0.500

The density is 5.81 g/cm3. For the total energy, the calculation gives -0.201 Ry per atom. For the formation energy without anion corrections, the calculation gives -535.7 meV per atom.

Crystalline Dy4GeSe2N at its relaxed geometry, computed with PBE.

Cell lengths 3.907, 6.816, 6.997 Å; angles 108.85, 90.00, 90.00 degrees
Positions (direct):
Dy: 0.000 0.236 0.776
Dy: 0.500 0.219 0.210
Dy: 0.500 0.781 0.790
Dy: 0.000 0.764 0.224
Se: 0.500 0.000 0.500
Se: 0.000 0.500 0.500
Ge: 0.500 0.500 0.000
N: 0.000 0.000 0.000

The density is 8.42 g/cm3. For the total energy, the calculation gives -0.460 Ry per atom. For the formation energy without anion corrections, the calculation gives -1466.2 meV per atom.

Crystalline PmPr3Pu2Se6 at its relaxed geometry, computed with PBE.

Cell lengths 7.280, 7.280, 7.330 Å; angles 99.52, 99.52, 120.02 degrees
Positions (direct):
Pr: 0.165 0.835 0.500
Pr: 0.835 0.165 0.500
Pr: 0.500 0.500 0.500
Se: 0.081 0.417 0.241
Se: 0.743 0.743 0.241
Se: 0.257 0.257 0.759
Se: 0.919 0.583 0.759
Se: 0.417 0.081 0.241
Se: 0.583 0.919 0.759
Pu: 0.667 0.333 0.000
Pu: 0.333 0.667 0.000
Pm: 0.000 0.000 0.000

The density is 8.00 g/cm3. For the total energy, the calculation gives -0.549 Ry per atom. For the formation energy without anion corrections, the calculation gives -1754.5 meV per atom.

Crystalline LiCa3 at its relaxed geometry, computed with PBE.

Cell lengths 7.021, 7.021, 7.021 Å; angles 146.32, 128.61, 62.86 degrees
Positions (direct):
Li: 0.250 0.750 0.500
Ca: 0.750 0.250 0.500
Ca: 0.472 0.472 0.000
Ca: 0.028 0.028 0.000

The calculation puts the formation energy at 0.13 eV per formula unit. The density is 1.42 g/cm3. As for the energy relative to the lowest polymorph listed for this composition: 0.00 eV/f.u. For the total energy, the calculation gives -0.143 Ry per atom.

Crystalline KTcAs2 at its relaxed geometry, computed with PBE.

Cell lengths 3.110, 3.109, 8.170 Å; angles 90.00, 90.00, 90.00 degrees
Positions (direct):
K: 0.500 0.500 0.250
Tc: 0.500 0.500 0.750
As: 0.000 0.000 0.565
As: 0.000 0.000 0.935

The calculation puts the formation energy at -0.99 eV per formula unit. The density is 6.03 g/cm3. As for the energy relative to the lowest polymorph listed for this composition: 0.00 eV/f.u. For the total energy, the calculation gives -0.400 Ry per atom.

Crystalline Tl2As2Pt3 at its relaxed geometry, computed with PBE.

Cell lengths 7.011, 6.834, 6.685 Å; angles 71.16, 90.00, 90.00 degrees
Positions (direct):
As: 0.347 0.653 0.650
As: 0.153 0.153 0.650
As: 0.653 0.347 0.350
As: 0.847 0.847 0.350
Pt: 0.469 0.300 0.679
Pt: 0.969 0.200 0.321
Pt: 0.000 0.000 0.000
Pt: 0.500 0.500 0.000
Pt: 0.031 0.800 0.679
Pt: 0.531 0.700 0.321
Tl: 0.353 0.089 0.169
Tl: 0.647 0.911 0.831
Tl: 0.853 0.411 0.831
Tl: 0.147 0.589 0.169

The calculation puts the formation energy at -1.71 eV per formula unit. The density is 12.53 g/cm3. For the total energy, the calculation gives -0.356 Ry per atom.

Crystalline La6In5Ga at its relaxed geometry, computed with PBE.

Cell lengths 5.557, 7.842, 8.791 Å; angles 90.00, 71.71, 90.00 degrees
Positions (direct):
In: 0.332 0.500 0.337
In: 0.670 0.000 0.660
In: 0.668 0.500 0.663
In: 0.000 0.500 0.000
In: 0.330 0.000 0.340
La: 0.162 0.753 0.675
La: 0.500 0.242 0.000
La: 0.838 0.753 0.325
La: 0.162 0.247 0.675
La: 0.500 0.758 0.000
La: 0.838 0.247 0.325
Ga: 0.000 0.000 0.000

The calculation puts the formation energy at -6.20 eV per formula unit. The density is 6.74 g/cm3. For the total energy, the calculation gives -0.321 Ry per atom.

Crystalline TbPrSm2 at its relaxed geometry, computed with PBE.

Cell lengths 5.145, 5.131, 5.131 Å; angles 90.00, 90.00, 90.00 degrees
Positions (direct):
Pr: 0.500 0.500 0.500
Sm: 0.000 0.000 0.500
Sm: 0.000 0.500 0.000
Tb: 0.500 0.000 0.000

The calculation puts the formation energy at 0.07 eV per formula unit. The density is 7.36 g/cm3. As for the energy relative to the lowest polymorph listed for this composition: 0.01 eV/f.u. For the total energy, the calculation gives -0.345 Ry per atom.

Crystalline Ac2CuRu at its relaxed geometry, computed with PBE.

Cell lengths 3.688, 3.688, 7.758 Å; angles 90.00, 90.00, 90.00 degrees
Positions (direct):
Ru: 0.500 0.500 0.000
Cu: 0.500 0.500 0.500
Ac: 0.000 0.000 0.238
Ac: 0.000 0.000 0.762

The calculation puts the formation energy at -0.13 eV per formula unit. The density is 9.73 g/cm3. For the total energy, the calculation gives -0.399 Ry per atom.

Crystalline TaGaAg3 at its relaxed geometry, computed with PBE.

Cell lengths 5.219, 5.219, 5.219 Å; angles 90.00, 90.00, 90.00 degrees
Positions (direct):
Ag: 0.500 0.000 0.000
Ag: 0.000 0.500 0.000
Ag: 0.000 0.000 0.500
Ta: 0.000 0.000 0.000
Ga: 0.500 0.500 0.500

The calculation puts the formation energy at 7.02 eV per formula unit. The density is 6.71 g/cm3. As for the energy relative to the lowest polymorph listed for this composition: 1.56 eV/f.u. For the total energy, the calculation gives -0.241 Ry per atom.

Crystalline PaSiTcIr at its relaxed geometry, computed with PBE.

Cell lengths 3.751, 4.536, 4.655 Å; angles 90.00, 90.00, 90.00 degrees
Positions (direct):
Ir: 0.000 0.500 0.000
Si: 0.000 0.000 0.000
Pa: 0.500 0.500 0.500
Tc: 0.000 0.000 0.500

The density is 11.52 g/cm3. For the total energy, the calculation gives -0.643 Ry per atom. For the formation energy without anion corrections, the calculation gives -207.9 meV per atom.

Crystalline CsK2BaF at its relaxed geometry, computed with PBE.

Cell lengths 8.158, 8.158, 4.992 Å; angles 90.00, 90.00, 90.00 degrees
Positions (direct):
F: 0.000 0.000 0.000
Ba: 0.000 0.000 0.500
K: 0.000 0.500 0.000
K: 0.500 0.000 0.000
Cs: 0.500 0.500 0.500

The density is 1.84 g/cm3. For the total energy, the calculation gives -0.174 Ry per atom. For the formation energy without anion corrections, the calculation gives -995.8 meV per atom.

Q: Which formula does entry 8 have?
A: TbPrSm2

Q: Which of these has the highest density?
A: Tl2As2Pt3